# 1
A relaxed KTe3As2 crystal, computed with PBE. Values from VASP.

Computed properties:
ΔE to the lowest computed polymorph (meV/atom): 70.3
Uncorrected energy (eV/f.u.): -20.7
D(E_F) (states/eV per cell): 2.0

```
&SYSTEM
  ibrav = 0, nat = 12, ntyp = 3
/
ATOMIC_SPECIES
K 39.10 K.upf
Te 127.60 Te.upf
As 74.92 As.upf
CELL_PARAMETERS angstrom
5.707 -5.578 0.000
5.707 5.578 0.000
0.000 0.000 7.047
ATOMIC_POSITIONS angstrom
K 5.707 3.606 5.285
K 5.707 -3.606 1.762
Te 2.280 1.581 5.285
Te 2.280 -1.581 1.762
Te 5.707 0.971 1.762
Te 5.707 -0.971 5.285
Te 9.135 1.581 5.285
Te 9.135 -1.581 1.762
As 3.648 0.000 0.000
As 3.648 0.000 3.523
As 7.767 0.000 0.000
As 7.767 0.000 3.523
```

=====

# 2
A relaxed KTe2As crystal, computed with PBE. Values from VASP.

Computed properties:
Uncorrected energy (eV/f.u.): -12.3
D(E_F) (states/eV per cell): 2.5

```
&SYSTEM
  ibrav = 0, nat = 4, ntyp = 3
/
ATOMIC_SPECIES
K 39.10 K.upf
Te 127.60 Te.upf
As 74.92 As.upf
CELL_PARAMETERS angstrom
2.171 -3.178 0.000
2.171 3.178 0.000
0.000 0.000 9.126
ATOMIC_POSITIONS angstrom
K 0.000 0.000 0.000
Te 2.171 0.000 2.653
Te 2.171 0.000 6.472
As 0.000 0.000 4.563
```

=====

# 3
A relaxed K2TeAs2 crystal, computed with PBE. Values from VASP.

Computed properties:
ΔE to the lowest computed polymorph (meV/atom): 55.4
Uncorrected energy (eV/f.u.): -16.0
D(E_F) (states/eV per cell): 3.0

```
&SYSTEM
  ibrav = 0, nat = 5, ntyp = 3
/
ATOMIC_SPECIES
K 39.10 K.upf
Te 127.60 Te.upf
As 74.92 As.upf
CELL_PARAMETERS angstrom
-3.344 3.344 4.003
3.344 -3.344 4.003
3.344 3.344 -4.003
ATOMIC_POSITIONS angstrom
K 3.344 0.000 2.001
K 0.000 3.344 2.001
Te 0.000 0.000 0.000
As 0.000 0.000 2.828
As 0.000 0.000 5.178
```

=====

# 4
A relaxed K4TeAs crystal, computed with PBE. Values from VASP.

Computed properties:
Uncorrected energy (eV/f.u.): -11.8
D(E_F) (states/eV per cell): 5.7

```
&SYSTEM
  ibrav = 0, nat = 6, ntyp = 3
/
ATOMIC_SPECIES
K 39.10 K.upf
Te 127.60 Te.upf
As 74.92 As.upf
CELL_PARAMETERS angstrom
0.000 4.757 4.757
4.757 0.000 4.757
4.757 4.757 0.000
ATOMIC_POSITIONS angstrom
K 1.186 1.186 1.186
K 3.571 3.571 1.186
K 3.571 1.186 3.571
K 1.186 3.571 3.571
Te 7.136 7.136 7.136
As 4.757 4.757 4.757
```

=====

# 5
A relaxed KTe2As crystal, computed with PBE. Values from VASP.

Computed properties:
Uncorrected energy (eV/f.u.): -11.4
D(E_F) (states/eV per cell): 3.2

```
&SYSTEM
  ibrav = 0, nat = 4, ntyp = 3
/
ATOMIC_SPECIES
K 39.10 K.upf
Te 127.60 Te.upf
As 74.92 As.upf
CELL_PARAMETERS angstrom
0.000 3.875 3.875
3.875 0.000 3.875
3.875 3.875 0.000
ATOMIC_POSITIONS angstrom
K 0.000 0.000 0.000
Te 1.938 1.938 1.938
Te 3.875 3.875 3.875
As 5.813 5.813 5.813
```

=====

# 6
A relaxed KTe2As crystal, computed with PBE. Values from VASP.

Computed properties:
Uncorrected energy (eV/f.u.): -12.9
D(E_F) (states/eV per cell): 2.2

```
&SYSTEM
  ibrav = 0, nat = 4, ntyp = 3
/
ATOMIC_SPECIES
K 39.10 K.upf
Te 127.60 Te.upf
As 74.92 As.upf
CELL_PARAMETERS angstrom
2.152 1.243 8.254
-2.152 1.243 8.254
0.000 -2.485 8.254
ATOMIC_POSITIONS angstrom
K 0.000 0.000 0.000
Te 0.000 0.000 5.751
Te 0.000 0.000 12.084
As 0.000 0.000 18.906
```

=====

# 7
A relaxed KTeAs3 crystal, computed with PBE. Values from VASP.

Computed properties:
ΔE to the lowest computed polymorph (meV/atom): 0.0
Uncorrected energy (eV/f.u.): -15.7
D(E_F) (states/eV per cell): 6.9

```
&SYSTEM
  ibrav = 0, nat = 5, ntyp = 3
/
ATOMIC_SPECIES
K 39.10 K.upf
Te 127.60 Te.upf
As 74.92 As.upf
CELL_PARAMETERS angstrom
5.463 0.000 0.000
0.000 5.463 0.000
0.000 0.000 5.463
ATOMIC_POSITIONS angstrom
K 0.000 0.000 0.000
Te 2.732 2.732 2.732
As 0.000 2.732 2.732
As 2.732 0.000 2.732
As 2.732 2.732 0.000
```

=====

# 8
A relaxed KTe2As crystal, computed with PBE. Values from VASP.

Computed properties:
Uncorrected energy (eV/f.u.): -12.7
D(E_F) (states/eV per cell): 0.5

```
&SYSTEM
  ibrav = 0, nat = 4, ntyp = 3
/
ATOMIC_SPECIES
K 39.10 K.upf
Te 127.60 Te.upf
As 74.92 As.upf
CELL_PARAMETERS angstrom
3.683 0.000 0.000
0.000 3.683 0.000
0.000 0.000 9.653
ATOMIC_POSITIONS angstrom
K 0.000 0.000 0.000
Te 0.000 0.000 5.943
Te 1.842 1.842 2.462
As 1.842 1.842 7.008
```